# PBE Zr3ScRu, optimized geometry
data_Zr3ScRu
_chemical_formula_sum 'Zr3 Sc1 Ru1'
_cell_length_a 4.866
_cell_length_b 4.866
_cell_length_c 4.866
_cell_angle_alpha 90.00
_cell_angle_beta 90.00
_cell_angle_gamma 90.00
_space_group_name_H-M_alt 'P 1'
_space_group_IT_number 1
_space_group_name_Hall 'P 1'
loop_
_atom_site_label
_atom_site_type_symbol
_atom_site_fract_x
_atom_site_fract_y
_atom_site_fract_z
Zr1 Zr 0.000 0.000 0.500
Zr2 Zr 0.000 0.500 0.000
Zr3 Zr 0.500 0.000 0.000
Sc1 Sc 0.000 0.000 0.000
Ru1 Ru 0.500 0.500 0.500
# Magnetic moment ... 0.00 μB per cell
# ΔH_f (0 K) ... 7.07 eV/f.u.

***

# PBE ZrScRu, optimized geometry
data_ZrScRu
_chemical_formula_sum 'Zr4 Sc4 Ru4'
_cell_length_a 6.380
_cell_length_b 6.380
_cell_length_c 6.380
_cell_angle_alpha 90.00
_cell_angle_beta 90.00
_cell_angle_gamma 90.00
_space_group_name_H-M_alt 'P 1'
_space_group_IT_number 1
_space_group_name_Hall 'P 1'
loop_
_atom_site_label
_atom_site_type_symbol
_atom_site_fract_x
_atom_site_fract_y
_atom_site_fract_z
Zr1 Zr 0.000 0.000 0.000
Zr2 Zr 0.000 0.500 0.500
Zr3 Zr 0.500 0.000 0.500
Zr4 Zr 0.500 0.500 0.000
Sc1 Sc 0.000 0.000 0.500
Sc2 Sc 0.000 0.500 0.000
Sc3 Sc 0.500 0.000 0.000
Sc4 Sc 0.500 0.500 0.500
Ru1 Ru 0.250 0.250 0.750
Ru2 Ru 0.250 0.750 0.250
Ru3 Ru 0.750 0.250 0.250
Ru4 Ru 0.750 0.750 0.750
# Magnetic moment ... 0.00 μB per cell
# ΔH_f (0 K) ... -0.75 eV/f.u.

***

# PBE ZrScRu, optimized geometry
data_ZrScRu
_chemical_formula_sum 'Zr4 Sc4 Ru4'
_cell_length_a 5.984
_cell_length_b 9.161
_cell_length_c 5.257
_cell_angle_alpha 90.00
_cell_angle_beta 122.40
_cell_angle_gamma 90.00
_space_group_name_H-M_alt 'P 1'
_space_group_IT_number 1
_space_group_name_Hall 'P 1'
loop_
_atom_site_label
_atom_site_type_symbol
_atom_site_fract_x
_atom_site_fract_y
_atom_site_fract_z
Zr1 Zr 0.000 0.179 0.000
Zr2 Zr 0.000 0.821 0.000
Zr3 Zr 0.500 0.321 0.000
Zr4 Zr 0.500 0.679 0.000
Sc1 Sc 0.185 0.500 0.357
Sc2 Sc 0.315 0.000 0.643
Sc3 Sc 0.685 0.000 0.357
Sc4 Sc 0.815 0.500 0.643
Ru1 Ru 0.000 0.252 0.500
Ru2 Ru 0.000 0.748 0.500
Ru3 Ru 0.500 0.248 0.500
Ru4 Ru 0.500 0.752 0.500
# Magnetic moment ... 0.00 μB per cell
# ΔH_f (0 K) ... -1.19 eV/f.u.

***

Among the records above, which one has the highest ΔH_f (0 K)?
Zr3ScRu

***

Among the records above, which one has the lowest ΔH_f (0 K)?
number 3